A plane-wave DFT calculation with PBE was carried out for LiAs2Cl after structural relaxation.

Results
- energy relative to the elements, uncorrected (meV per atom) = 174
- symmetry = R-3m, No. 166

a = 8.798 Å, b = 8.798 Å, c = 8.798 Å
α = 20.70°, β = 20.70°, γ = 20.70°
Atoms (fractional coordinates):
As1 0.497 0.497 0.497
Li1 0.750 0.750 0.750
Cl1 0.250 0.250 0.250
As2 0.003 0.003 0.003

---

A plane-wave DFT calculation with PBE was carried out for DyGa3NiPd after structural relaxation.

Results
- calculated formation energy (eV/atom) = -0.49
- symmetry = Cmcm, No. 63

a = 5.723 Å, b = 5.996 Å, c = 6.848 Å
α = 115.96°, β = 90.00°, γ = 90.00°
Atoms (fractional coordinates):
Pd1 0.250 0.347 0.693
Pd2 0.750 0.653 0.307
Ni1 0.750 0.066 0.132
Ni2 0.250 0.934 0.868
Ga1 0.250 0.141 0.283
Ga2 0.000 0.289 0.000
Ga3 0.500 0.711 0.000
Ga4 0.000 0.711 0.000
Dy1 0.250 0.723 0.447
Dy2 0.750 0.277 0.553
Ga5 0.500 0.289 0.000
Ga6 0.750 0.859 0.717

---

A plane-wave DFT calculation with PBE was carried out for Ti2CdIn after structural relaxation.

Results
- calculated formation energy (eV/atom) = -0.06
- symmetry = Pmmm, No. 47

a = 4.254 Å, b = 2.985 Å, c = 5.967 Å
α = 90.00°, β = 90.00°, γ = 90.00°
Site moments in Bohr magnetons follow the coordinates.
Atoms (fractional coordinates):
Cd1 0.500 0.500 0.000  0.00
In1 0.500 0.500 0.500  0.00
Ti1 0.000 0.000 0.751  0.26
Ti2 0.000 0.000 0.249  0.26

---

A plane-wave DFT calculation with PBE was carried out for SmFeCo after structural relaxation.

Results
- calculated formation energy (eV/atom) = 0.03
- symmetry = Pnma, No. 62

a = 3.981 Å, b = 5.271 Å, c = 10.510 Å
α = 90.00°, β = 90.00°, γ = 90.00°
Site moments in Bohr magnetons follow the coordinates.
Atoms (fractional coordinates):
Sm1 0.750 0.377 0.864  -0.21
Fe1 0.250 0.372 0.653  2.41
Sm2 0.750 0.877 0.636  -0.21
Sm3 0.250 0.123 0.364  -0.21
Fe2 0.750 0.628 0.347  2.41
Fe3 0.750 0.128 0.153  2.41
Co1 0.250 0.613 0.457  1.01
Co2 0.750 0.387 0.543  1.01
Fe4 0.250 0.872 0.847  2.41
Co3 0.750 0.887 0.957  1.01
Sm4 0.250 0.623 0.136  -0.21
Co4 0.250 0.113 0.043  1.01

---

> What is the formula in the first record?

LiAs2Cl